## MnPb2 (GGA-PBE)

Data for crystalline MnPb2 at its relaxed geometry.

POSCAR file:
```
MnPb2
1.0
4.9147 0.0000 0.0000
0.0000 4.9147 0.0000
0.0000 0.0000 3.3607
Mn Pb
1 2
direct
0.0000 0.0000 0.0000
0.5000 0.0000 0.5000
0.0000 0.5000 0.5000
```

**Magnetic moment**: 3.9 μB/f.u.
**Space group**: P4/mmm (123)

## CsNa2Br (GGA-PBE)

Data for crystalline CsNa2Br at its relaxed geometry.

POSCAR file:
```
CsNa2Br
1.0
9.2030 0.0000 0.0000
0.0000 9.2030 0.0000
4.6015 4.6015 6.2958
Na Br Cs
4 2 2
direct
0.3750 0.5749 0.7500
0.8750 0.6751 0.7500
0.4251 0.1250 0.2500
0.3249 0.6250 0.2500
0.2500 0.7500 0.5000
0.5000 0.5000 0.0000
0.7500 0.2500 0.5000
0.0000 0.0000 0.0000
```

**Relative energy among the computed polymorphs**: 0.00 eV/f.u.
**Energy relative to the elements, uncorrected**: -566 meV per atom
**Magnetic moment**: 0.0 μB/f.u.
**Space group**: I-42d (122)

## ScBeTl (GGA-PBE)

Data for crystalline ScBeTl at its relaxed geometry.

POSCAR file:
```
ScBeTl
1.0
0.0000 3.2535 3.2535
3.2535 0.0000 3.2535
3.2535 3.2535 0.0000
Tl Be Sc
1 1 1
direct
0.2500 0.2500 0.2500
0.7500 0.7500 0.7500
0.5000 0.5000 0.5000
```

**Relative energy among the computed polymorphs**: 1.99 eV/f.u.
**Magnetic moment**: 0.0 μB/f.u.
**Space group**: F-43m (216)

Which raw total energy belongs to each record? In order, -5.167; -1.857; -3.566 eV per atom.